Arrangement a

GaSb2TeBr after structural relaxation. Source: Alexandria via LeMat-Bulk, functional GGA-PBE.

abc: 5.535 5.535 5.897
angles: 90.00 90.00 90.00
Fractional coordinates of all 5 atoms:
Sb (0.000, 0.500, 0.000)
Sb (0.500, 0.000, 0.000)
Te (0.000, 0.000, 0.500)
Ga (0.500, 0.500, 0.500)
Br (0.000, 0.000, 0.000)

Arrangement b

GaSb2TeBr after structural relaxation. Source: Alexandria via LeMat-Bulk, functional GGA-PBE.

abc: 5.421 5.421 5.324
angles: 90.00 90.00 90.00
Fractional coordinates of all 5 atoms:
Sb (0.000, 0.500, 0.000)
Sb (0.500, 0.000, 0.000)
Te (0.000, 0.000, 0.500)
Ga (0.000, 0.000, 0.000)
Br (0.500, 0.500, 0.500)

Which of them is the least stable? Correct choice: arrangement a.

Arrangement a

ScGa2Br after structural relaxation. Source: Alexandria via LeMat-Bulk, functional GGA-PBE.

abc: 5.071 5.071 5.071
angles: 60.00 60.00 60.00
Fractional coordinates of all 4 atoms:
Sc (0.000, 0.000, 0.000)
Ga (0.250, 0.250, 0.250)
Ga (0.750, 0.750, 0.750)
Br (0.500, 0.500, 0.500)

Arrangement b

ScGa2Br after structural relaxation. Source: Alexandria via LeMat-Bulk, functional GGA-PBE.

abc: 8.800 8.800 6.746
angles: 49.29 49.29 90.00
Fractional coordinates of all 8 atoms:
Sc (0.500, 0.500, 0.000)
Sc (0.250, 0.750, 0.500)
Ga (0.579, 0.125, 0.250)
Ga (0.171, 0.625, 0.250)
Ga (0.375, 0.421, 0.750)
Ga (0.875, 0.829, 0.750)
Br (0.000, 0.000, 0.000)
Br (0.750, 0.250, 0.500)

Which of them is the least stable? Correct choice: arrangement a.

Arrangement a

ScGaBr3 after structural relaxation. Source: Alexandria via LeMat-Bulk, functional GGA-PBE.

abc: 5.370 5.370 5.370
angles: 90.00 90.00 90.00
Fractional coordinates of all 5 atoms:
Sc (0.000, 0.000, 0.000)
Ga (0.500, 0.500, 0.500)
Br (0.000, 0.500, 0.000)
Br (0.000, 0.000, 0.500)
Br (0.500, 0.000, 0.000)

Arrangement b

ScGaBr3 after structural relaxation. Source: Alexandria via LeMat-Bulk, functional GGA-PBE.

abc: 5.382 5.382 5.382
angles: 90.00 90.00 90.00
Fractional coordinates of all 5 atoms:
Sc (0.500, 0.500, 0.500)
Ga (0.000, 0.000, 0.000)
Br (0.000, 0.500, 0.000)
Br (0.000, 0.000, 0.500)
Br (0.500, 0.000, 0.000)

Which of them is the least stable? Correct choice: arrangement b.

Arrangement a

ScGaSe2Br after structural relaxation. Source: Alexandria via LeMat-Bulk, functional GGA-PBE.

abc: 5.024 5.024 4.969
angles: 90.00 90.00 90.00
Fractional coordinates of all 5 atoms:
Sc (0.500, 0.500, 0.500)
Ga (0.000, 0.000, 0.000)
Se (0.000, 0.500, 0.000)
Se (0.500, 0.000, 0.000)
Br (0.000, 0.000, 0.500)

Arrangement b

ScGaSe2Br after structural relaxation. Source: Alexandria via LeMat-Bulk, functional GGA-PBE.

abc: 5.163 5.163 5.457
angles: 90.00 90.00 90.00
Fractional coordinates of all 5 atoms:
Sc (0.000, 0.000, 0.000)
Ga (0.500, 0.500, 0.500)
Se (0.000, 0.500, 0.000)
Se (0.500, 0.000, 0.000)
Br (0.000, 0.000, 0.500)

Arrangement c

ScGaSe2Br after structural relaxation. Source: Alexandria via LeMat-Bulk, functional GGA-PBE.

abc: 4.853 5.601 4.853
angles: 90.00 90.00 90.00
Fractional coordinates of all 5 atoms:
Sc (0.000, 0.500, 0.000)
Ga (0.000, 0.000, 0.000)
Se (0.000, 0.000, 0.500)
Se (0.500, 0.000, 0.000)
Br (0.500, 0.500, 0.500)

Which of them is the least stable? Correct choice: arrangement c.

Arrangement a

GaSeBr2 after structural relaxation. Source: Alexandria via LeMat-Bulk, functional GGA-PBE.

abc: 9.321 9.321 9.321
angles: 25.55 25.55 25.55
Fractional coordinates of all 4 atoms:
Ga (0.500, 0.500, 0.500)
Se (0.000, 0.000, 0.000)
Br (0.905, 0.905, 0.905)
Br (0.095, 0.095, 0.095)

Arrangement b

GaSeBr2 after structural relaxation. Source: Alexandria via LeMat-Bulk, functional GGA-PBE.

abc: 7.907 7.907 6.621
angles: 53.34 53.34 90.00
Fractional coordinates of all 8 atoms:
Ga (0.500, 0.500, 0.000)
Ga (0.250, 0.750, 0.500)
Se (0.000, 0.000, 0.000)
Se (0.750, 0.250, 0.500)
Br (0.630, 0.125, 0.250)
Br (0.120, 0.625, 0.250)
Br (0.375, 0.370, 0.750)
Br (0.875, 0.880, 0.750)

Which of them is the least stable? Correct choice: arrangement b.

Arrangement a

Ga2SeBr after structural relaxation. Source: Alexandria via LeMat-Bulk, functional GGA-PBE.

abc: 7.387 7.387 6.660
angles: 56.32 56.32 90.00
Fractional coordinates of all 8 atoms:
Ga (0.597, 0.125, 0.250)
Ga (0.153, 0.625, 0.250)
Ga (0.375, 0.403, 0.750)
Ga (0.875, 0.847, 0.750)
Se (0.500, 0.500, 0.000)
Se (0.250, 0.750, 0.500)
Br (0.000, 0.000, 0.000)
Br (0.750, 0.250, 0.500)

Arrangement b

Ga2SeBr after structural relaxation. Source: Alexandria via LeMat-Bulk, functional GGA-PBE.

abc: 5.084 5.084 5.084
angles: 60.00 60.00 60.00
Fractional coordinates of all 4 atoms:
Ga (0.250, 0.250, 0.250)
Ga (0.750, 0.750, 0.750)
Se (0.000, 0.000, 0.000)
Br (0.500, 0.500, 0.500)

Which of them is the least stable? Correct choice: arrangement b.

Arrangement a

Ga2Se2Br after structural relaxation. Source: Alexandria via LeMat-Bulk, functional GGA-PBE.

abc: 8.119 8.119 3.876
angles: 90.00 90.00 90.00
Fractional coordinates of all 10 atoms:
Ga (0.262, 0.762, 0.000)
Ga (0.762, 0.738, 0.000)
Ga (0.738, 0.238, 0.000)
Ga (0.238, 0.262, 0.000)
Se (0.132, 0.632, 0.500)
Se (0.632, 0.868, 0.500)
Se (0.868, 0.368, 0.500)
Se (0.368, 0.132, 0.500)
Br (0.000, 0.000, 0.000)
Br (0.500, 0.500, 0.000)

Arrangement b

Ga2Se2Br after structural relaxation. Source: Alexandria via LeMat-Bulk, functional GGA-PBE.

abc: 7.952 7.952 7.677
angles: 121.19 121.19 90.00
Fractional coordinates of all 10 atoms:
Ga (0.412, 0.613, 0.823)
Ga (0.460, 0.162, 0.323)
Ga (0.863, 0.162, 0.323)
Ga (0.412, 0.210, 0.823)
Se (0.646, 0.902, 0.293)
Se (0.641, 0.396, 0.793)
Se (0.152, 0.396, 0.793)
Se (0.646, 0.391, 0.293)
Br (0.065, 0.065, 0.129)
Br (0.315, 0.815, 0.629)

Which of them is the least stable? Correct choice: arrangement a.

Arrangement a

GaTcSeBr2 after structural relaxation. Source: Alexandria via LeMat-Bulk, functional GGA-PBE.

abc: 5.122 5.122 5.137
angles: 90.00 90.00 90.00
Fractional coordinates of all 5 atoms:
Ga (0.000, 0.000, 0.000)
Se (0.000, 0.000, 0.500)
Tc (0.500, 0.500, 0.500)
Br (0.000, 0.500, 0.000)
Br (0.500, 0.000, 0.000)

Arrangement b

GaTcSeBr2 after structural relaxation. Source: Alexandria via LeMat-Bulk, functional GGA-PBE.

abc: 5.347 5.347 4.714
angles: 90.00 90.00 90.00
Fractional coordinates of all 5 atoms:
Ga (0.500, 0.500, 0.500)
Se (0.000, 0.000, 0.500)
Tc (0.000, 0.000, 0.000)
Br (0.000, 0.500, 0.000)
Br (0.500, 0.000, 0.000)

Which of them is the least stable? Correct choice: arrangement a.